# 1
## P2PbCl (PBE)

Data for a geometry-optimized P2PbCl structure.

Cell and atoms, written as CIF:
```
data_P2PbCl
_symmetry_space_group_name_H-M 'P 1'
_symmetry_Int_Tables_number 1
_cell_length_a 3.416
_cell_length_b 4.122
_cell_length_c 7.729
_cell_angle_alpha 85.32
_cell_angle_beta 90.00
_cell_angle_gamma 90.00
loop_
_symmetry_equiv_pos_as_xyz
'x,y,z'
loop_
_atom_site_label
_atom_site_type_symbol
_atom_site_fract_x
_atom_site_fract_y
_atom_site_fract_z
P1 P 0.000 0.947 0.197
P2 P 0.500 0.276 0.141
Cl1 Cl 0.500 0.880 0.675
Pb1 Pb 0.000 0.397 0.488
```

Results
total magnetization: 0.00 μB/cell
space group: No. 6
DOS(E_F): 0.097 states/eV per atom
energy relative to the elements, uncorrected: -0.232 eV per atom

***

# 2
## BSbI2Cl (PBE)

Data for a geometry-optimized BSbI2Cl structure.

Cell and atoms, written as CIF:
```
data_BSbI2Cl
_symmetry_space_group_name_H-M 'P 1'
_symmetry_Int_Tables_number 1
_cell_length_a 5.123
_cell_length_b 5.123
_cell_length_c 4.917
_cell_angle_alpha 90.00
_cell_angle_beta 90.00
_cell_angle_gamma 90.00
loop_
_symmetry_equiv_pos_as_xyz
'x,y,z'
loop_
_atom_site_label
_atom_site_type_symbol
_atom_site_fract_x
_atom_site_fract_y
_atom_site_fract_z
Cl1 Cl 0.500 0.500 0.500
B1 B 0.000 0.000 0.000
Sb1 Sb 0.000 0.000 0.500
I1 I 0.000 0.500 0.000
I2 I 0.500 0.000 0.000
```

Results
total magnetization: 0.00 μB/cell
space group: No. 123
DOS(E_F): 0.570 states/eV per atom
energy relative to the elements, uncorrected: 0.660 eV per atom

***

# 3
## Nd3ZnCu2 (PBE)

Data for a geometry-optimized Nd3ZnCu2 structure.

Cell and atoms, written as CIF:
```
data_Nd3ZnCu2
_symmetry_space_group_name_H-M 'P 1'
_symmetry_Int_Tables_number 1
_cell_length_a 3.633
_cell_length_b 3.633
_cell_length_c 10.817
_cell_angle_alpha 90.00
_cell_angle_beta 90.00
_cell_angle_gamma 90.00
loop_
_symmetry_equiv_pos_as_xyz
'x,y,z'
loop_
_atom_site_label
_atom_site_type_symbol
_atom_site_fract_x
_atom_site_fract_y
_atom_site_fract_z
Zn1 Zn 0.500 0.500 0.500
Nd1 Nd 0.000 0.000 0.000
Nd2 Nd 0.000 0.000 0.329
Nd3 Nd 0.000 0.000 0.671
Cu1 Cu 0.500 0.500 0.835
Cu2 Cu 0.500 0.500 0.165
```

Results
total magnetization: 0.00 μB/cell
space group: No. 123
DOS(E_F): 0.753 states/eV per atom
ΔE_f: -0.20 eV per atom

***

# 4
## Li3TiB2O6 (PBE)

Data for a geometry-optimized Li3TiB2O6 structure.

Cell and atoms, written as CIF:
```
data_Li3TiB2O6
_symmetry_space_group_name_H-M 'P 1'
_symmetry_Int_Tables_number 1
_cell_length_a 5.100
_cell_length_b 6.618
_cell_length_c 7.925
_cell_angle_alpha 107.64
_cell_angle_beta 89.80
_cell_angle_gamma 90.38
loop_
_symmetry_equiv_pos_as_xyz
'x,y,z'
loop_
_atom_site_label
_atom_site_type_symbol
_atom_site_fract_x
_atom_site_fract_y
_atom_site_fract_z
Li1 Li 0.686 0.052 0.745
Li2 Li 0.314 0.948 0.255
Li3 Li 0.342 0.250 0.600
Li4 Li 0.658 0.750 0.400
Li5 Li 0.181 0.090 0.926
Li6 Li 0.819 0.910 0.074
O1 O 0.907 0.794 0.614
O2 O 0.814 0.172 0.987
O3 O 0.689 0.001 0.318
O4 O 0.610 0.687 0.905
O5 O 0.224 0.518 0.759
O6 O 0.776 0.482 0.241
O7 O 0.186 0.828 0.013
O8 O 0.093 0.206 0.386
O9 O 0.390 0.313 0.095
O10 O 0.311 0.999 0.682
O11 O 0.260 0.729 0.401
O12 O 0.740 0.271 0.599
B1 B 0.834 0.156 0.429
B2 B 0.166 0.844 0.571
B3 B 0.336 0.681 0.898
B4 B 0.664 0.319 0.102
Ti1 Ti 0.142 0.439 0.275
Ti2 Ti 0.858 0.561 0.725
```

Results
total magnetization: 2.00 μB/cell
space group: No. 2
DOS(E_F): 0.109 states/eV per atom
energy relative to the elements, uncorrected: -2.379 eV per atom

***

# 5
## Sc4Rh3 (PBE)

Data for a geometry-optimized Sc4Rh3 structure.

Cell and atoms, written as CIF:
```
data_Sc4Rh3
_symmetry_space_group_name_H-M 'P 1'
_symmetry_Int_Tables_number 1
_cell_length_a 5.415
_cell_length_b 5.415
_cell_length_c 5.008
_cell_angle_alpha 90.00
_cell_angle_beta 90.00
_cell_angle_gamma 120.00
loop_
_symmetry_equiv_pos_as_xyz
'x,y,z'
loop_
_atom_site_label
_atom_site_type_symbol
_atom_site_fract_x
_atom_site_fract_y
_atom_site_fract_z
Sc1 Sc 0.000 0.000 0.237
Sc2 Sc 0.667 0.333 0.500
Sc3 Sc 0.000 0.000 0.763
Sc4 Sc 0.333 0.667 0.500
Rh1 Rh 0.500 0.000 0.000
Rh2 Rh 0.500 0.500 0.000
Rh3 Rh 0.000 0.500 0.000
```

Results
total magnetization: 0.02 μB/cell
space group: No. 191
DOS(E_F): 1.438 states/eV per atom
ΔE_f: -0.51 eV per atom

***

# 6
## CaTa2Al (PBE)

Data for a geometry-optimized CaTa2Al structure.

Cell and atoms, written as CIF:
```
data_CaTa2Al
_symmetry_space_group_name_H-M 'P 1'
_symmetry_Int_Tables_number 1
_cell_length_a 5.604
_cell_length_b 5.604
_cell_length_c 2.870
_cell_angle_alpha 90.00
_cell_angle_beta 90.00
_cell_angle_gamma 117.34
loop_
_symmetry_equiv_pos_as_xyz
'x,y,z'
loop_
_atom_site_label
_atom_site_type_symbol
_atom_site_fract_x
_atom_site_fract_y
_atom_site_fract_z
Al1 Al 0.500 0.000 0.500
Ca1 Ca 0.000 0.500 0.500
Ta1 Ta 0.000 0.000 0.000
Ta2 Ta 0.500 0.500 0.000
```

Results
total magnetization: 0.00 μB/cell
space group: No. 65
DOS(E_F): 0.964 states/eV per atom
ΔE_f: 0.48 eV per atom

***

# 7
## TaCrIr2 (PBE)

Data for a geometry-optimized TaCrIr2 structure.

Cell and atoms, written as CIF:
```
data_TaCrIr2
_symmetry_space_group_name_H-M 'P 1'
_symmetry_Int_Tables_number 1
_cell_length_a 4.717
_cell_length_b 4.717
_cell_length_c 4.717
_cell_angle_alpha 130.40
_cell_angle_beta 130.40
_cell_angle_gamma 72.76
loop_
_symmetry_equiv_pos_as_xyz
'x,y,z'
loop_
_atom_site_label
_atom_site_type_symbol
_atom_site_fract_x
_atom_site_fract_y
_atom_site_fract_z
Cr1 Cr 0.250 0.750 0.500
Ir1 Ir 0.000 0.000 0.000
Ir2 Ir 0.500 0.500 0.000
Ta1 Ta 0.750 0.250 0.500
```

Results
total magnetization: 1.65 μB/cell
space group: No. 139
DOS(E_F): 0.831 states/eV per atom
ΔE_f: -0.41 eV per atom

***

# 8
## GaHgHAu (PBE)

Data for a geometry-optimized GaHgHAu structure.

Cell and atoms, written as CIF:
```
data_GaHgHAu
_symmetry_space_group_name_H-M 'P 1'
_symmetry_Int_Tables_number 1
_cell_length_a 3.669
_cell_length_b 4.662
_cell_length_c 4.914
_cell_angle_alpha 74.68
_cell_angle_beta 87.65
_cell_angle_gamma 68.59
loop_
_symmetry_equiv_pos_as_xyz
'x,y,z'
loop_
_atom_site_label
_atom_site_type_symbol
_atom_site_fract_x
_atom_site_fract_y
_atom_site_fract_z
Au1 Au 0.371 0.734 0.595
Ga1 Ga 0.623 0.251 0.379
Hg1 Hg 0.182 0.139 0.967
H1 H 0.876 0.723 0.606
```

Results
total magnetization: 0.00 μB/cell
space group: No. 1
DOS(E_F): 0.255 states/eV per atom
uncorrected energy: -2.375 eV per atom

***

# 9
## Pa2Nb (PBE)

Data for a geometry-optimized Pa2Nb structure.

Cell and atoms, written as CIF:
```
data_Pa2Nb
_symmetry_space_group_name_H-M 'P 1'
_symmetry_Int_Tables_number 1
_cell_length_a 3.589
_cell_length_b 3.589
_cell_length_c 5.796
_cell_angle_alpha 108.05
_cell_angle_beta 108.05
_cell_angle_gamma 90.01
loop_
_symmetry_equiv_pos_as_xyz
'x,y,z'
loop_
_atom_site_label
_atom_site_type_symbol
_atom_site_fract_x
_atom_site_fract_y
_atom_site_fract_z
Pa1 Pa 0.168 0.168 0.337
Pa2 Pa 0.832 0.832 0.663
Nb1 Nb 0.500 0.500 0.000
```

Results
total magnetization: 0.00 μB/cell
space group: No. 139
DOS(E_F): 1.300 states/eV per atom
ΔE_f: 0.01 eV per atom

***

# 10
## LaScAsBr2 (PBE)

Data for a geometry-optimized LaScAsBr2 structure.

Cell and atoms, written as CIF:
```
data_LaScAsBr2
_symmetry_space_group_name_H-M 'P 1'
_symmetry_Int_Tables_number 1
_cell_length_a 5.092
_cell_length_b 5.092
_cell_length_c 5.385
_cell_angle_alpha 90.00
_cell_angle_beta 90.00
_cell_angle_gamma 90.00
loop_
_symmetry_equiv_pos_as_xyz
'x,y,z'
loop_
_atom_site_label
_atom_site_type_symbol
_atom_site_fract_x
_atom_site_fract_y
_atom_site_fract_z
Br1 Br 0.500 0.000 0.000
Br2 Br 0.000 0.500 0.000
As1 As 0.000 0.000 0.500
La1 La 0.500 0.500 0.500
Sc1 Sc 0.000 0.000 0.000
```

Results
total magnetization: 0.34 μB/cell
space group: No. 123
DOS(E_F): 1.045 states/eV per atom
energy relative to the elements, uncorrected: -1.067 eV per atom

***

# 11
## CaAu3 (PBE)

Data for a geometry-optimized CaAu3 structure.

Cell and atoms, written as CIF:
```
data_CaAu3
_symmetry_space_group_name_H-M 'P 1'
_symmetry_Int_Tables_number 1
_cell_length_a 5.502
_cell_length_b 5.502
_cell_length_c 5.502
_cell_angle_alpha 90.00
_cell_angle_beta 90.00
_cell_angle_gamma 90.00
loop_
_symmetry_equiv_pos_as_xyz
'x,y,z'
loop_
_atom_site_label
_atom_site_type_symbol
_atom_site_fract_x
_atom_site_fract_y
_atom_site_fract_z
Au1 Au 0.500 0.000 0.250
Au2 Au 0.000 0.250 0.500
Au3 Au 0.500 0.000 0.750
Au4 Au 0.750 0.500 0.000
Au5 Au 0.250 0.500 0.000
Au6 Au 0.000 0.750 0.500
Ca1 Ca 0.000 0.000 0.000
Ca2 Ca 0.500 0.500 0.500
```

Results
total magnetization: 0.00 μB/cell
space group: No. 223
DOS(E_F): 0.299 states/eV per atom
ΔE_f: -0.54 eV per atom

***

# 12
## YPSe (PBE)

Data for a geometry-optimized YPSe structure.

Cell and atoms, written as CIF:
```
data_YPSe
_symmetry_space_group_name_H-M 'P 1'
_symmetry_Int_Tables_number 1
_cell_length_a 17.574
_cell_length_b 3.752
_cell_length_c 3.912
_cell_angle_alpha 90.00
_cell_angle_beta 90.00
_cell_angle_gamma 90.00
loop_
_symmetry_equiv_pos_as_xyz
'x,y,z'
loop_
_atom_site_label
_atom_site_type_symbol
_atom_site_fract_x
_atom_site_fract_y
_atom_site_fract_z
Y1 Y 0.365 0.500 0.369
Y2 Y 0.135 0.000 0.869
Y3 Y 0.635 0.500 0.369
Y4 Y 0.865 0.000 0.869
Se1 Se 0.188 0.500 0.366
Se2 Se 0.312 0.000 0.866
Se3 Se 0.688 0.000 0.866
Se4 Se 0.812 0.500 0.366
P1 P 0.000 0.500 0.768
P2 P 0.500 0.000 0.268
P3 P 0.500 0.500 0.901
P4 P 0.000 0.000 0.401
```

Results
total magnetization: 0.00 μB/cell
space group: No. 44
energy relative to the elements, uncorrected: -1.396 eV per atom

***

# 13
## Sr2AlOs (PBE)

Data for a geometry-optimized Sr2AlOs structure.

Cell and atoms, written as CIF:
```
data_Sr2AlOs
_symmetry_space_group_name_H-M 'P 1'
_symmetry_Int_Tables_number 1
_cell_length_a 6.280
_cell_length_b 6.280
_cell_length_c 6.280
_cell_angle_alpha 141.99
_cell_angle_beta 132.39
_cell_angle_gamma 62.48
loop_
_symmetry_equiv_pos_as_xyz
'x,y,z'
loop_
_atom_site_label
_atom_site_type_symbol
_atom_site_fract_x
_atom_site_fract_y
_atom_site_fract_z
Sr1 Sr 0.986 0.986 0.000
Sr2 Sr 0.269 0.769 0.500
Al1 Al 0.563 0.563 0.000
Os1 Os 0.683 0.183 0.500
```

Results
total magnetization: 0.00 μB/cell
space group: No. 44
DOS(E_F): 0.685 states/eV per atom
ΔE_f: 0.20 eV per atom